Version w
VASP calculation (PBE-GGA) on CsSe3S after structural relaxation.

Cell lengths 5.3716, 5.5796, 25.3823 Å; angles 90.00, 90.00, 90.00 degrees
Space group Pnma (No. 62)
One atom of each set of equivalent atoms:
Cs 0.0393 0.2500 0.1453
Se 0.0359 0.7500 0.2581
Se 0.0534 0.5046 0.4554
S 0.0140 0.2500 0.6560

Crystal system ... orthorhombic
Fermi-level density of states ... 9.56 states/eV per cell

***

Version x
VASP calculation (PBE-GGA) on CsSe3S after structural relaxation.

Cell lengths 5.1685, 5.1685, 5.1685 Å; angles 90.00, 90.00, 90.00 degrees
Space group Pm-3m (No. 221)
One atom of each set of equivalent atoms:
Cs 0.0000 0.0000 0.0000
Se 0.0000 0.5000 0.5000
S 0.5000 0.5000 0.5000

Crystal system ... cubic
Fermi-level density of states ... 4.76 states/eV per cell

***

Version y
VASP calculation (PBE-GGA) on CsSe3S after structural relaxation.

Cell lengths 6.0414, 6.0414, 6.0414 Å; angles 90.00, 90.00, 90.00 degrees
Space group Pm-3m (No. 221)
One atom of each set of equivalent atoms:
Cs 0.0000 0.0000 0.0000
Se 0.0000 0.0000 0.5000
S 0.5000 0.5000 0.5000

Crystal system ... cubic
Fermi-level density of states ... 8.86 states/eV per cell

***

Of all the structures shown, which is most stable? version w, and version y is the least stable.